Entry 1:
PBE-GGA AcFe2SiP6, relaxed; formation energy from raw total energies = -2.9 eV per formula unit; total moment = 0.00 μB per cell; SG = R-3m (166); V = 201.6 Å³ per cell
1.0
6.0924 0.0000 0.0000
3.0462 5.2762 0.0000
3.0462 1.7587 6.2731
Ac P Fe Si
1 6 2 1
Direct
0.0000 0.0000 0.0000
0.5522 0.1078 0.7881
0.4478 0.8922 0.2119
0.4481 0.4478 0.2119
0.5519 0.5522 0.7881
0.8922 0.4481 0.2119
0.1078 0.5519 0.7881
0.3176 0.3176 0.0472
0.6824 0.6824 0.9528
0.5000 0.5000 0.5000

Entry 2:
PBE-GGA AcFeTcP2, relaxed; total moment = 0.00 μB per cell; E_form = -0.873 eV per atom; SG = I-4m2 (119); V = 90.7 Å³ per cell
1.0
4.0223 0.0000 0.0000
0.0000 4.0223 0.0000
-2.0112 -2.0112 5.6079
Ac P Fe Tc
1 2 1 1
Direct
0.0000 0.0000 0.0000
0.3488 0.3488 0.6975
0.6512 0.6512 0.3025
0.2500 0.7500 0.5000
0.7500 0.2500 0.5000

Entry 3:
PBE-GGA AcVFeP2, relaxed; total moment = 2.32 μB per cell; E_form = -0.878 eV per atom; SG = I-4m2 (119); V = 90.8 Å³ per cell
1.0
3.8671 0.0000 0.0000
0.0000 3.8671 0.0000
-1.9335 -1.9335 6.0715
V P Ac Fe
1 2 1 1
Direct
0.2500 0.7500 0.5000
0.3573 0.3573 0.7147
0.6427 0.6427 0.2853
0.0000 0.0000 0.0000
0.7500 0.2500 0.5000

Entry 4:
PBE-GGA AcPaFe4, relaxed; total moment = 6.19 μB per cell; E_form = 0.141 eV per atom; SG = F-43m (216); V = 101.1 Å³ per cell
1.0
-4.3767 -1.1631 2.6138
-4.2377 -1.6320 -2.5921
-1.5587 -4.9745 0.4065
Pa Fe Ac
1 4 1
Direct
0.0000 0.0000 0.0000
0.1210 0.6263 0.6263
0.6263 0.1210 0.6263
0.6263 0.6263 0.1210
0.6263 0.6263 0.6263
0.2500 0.2500 0.2500

Entry 5:
PBE-GGA Ac12Fe5Pb3, relaxed; total moment = 0.00 μB per cell; E_form = 0.158 eV per atom; SG = Ia-3d (230); V = 2869.6 Å³ per cell
1.0
-7.1309 3.4968 -13.3168
-0.9605 -15.2685 2.5228
-6.8181 7.6051 11.6658
Fe Ac Pb
20 48 12
Direct
0.8750 0.2500 0.6250
0.6250 0.8750 0.2500
0.5000 0.0000 0.0000
0.2500 0.8750 0.1250
0.0000 0.5000 0.5000
0.7500 0.1250 0.8750
0.8750 0.6250 0.7500
0.0000 0.0000 0.5000
0.5000 0.5000 0.0000
0.5000 0.0000 0.5000
0.1250 0.7500 0.3750
0.7500 0.6250 0.3750
0.6250 0.7500 0.8750
0.5000 0.5000 0.5000
0.1250 0.3750 0.2500
0.3750 0.2500 0.1250
0.3750 0.1250 0.7500
0.0000 0.0000 0.0000
0.0000 0.5000 0.0000
0.2500 0.3750 0.6250
0.1827 0.0986 0.9835
0.3007 0.8849 0.9835
0.0165 0.4014 0.8173
0.3007 0.4158 0.8173
0.4835 0.8007 0.8849
0.3849 0.9835 0.8007
0.6827 0.4835 0.5986
0.6151 0.5986 0.9158
0.8007 0.4835 0.3849
0.6993 0.1151 0.0165
0.0986 0.1827 0.4835
0.4158 0.1151 0.5986
0.9014 0.8173 0.5165
0.3173 0.5165 0.4014
0.5165 0.3173 0.9014
0.0986 0.9158 0.1151
0.1993 0.6827 0.0842
0.5165 0.1993 0.1151
0.4014 0.0165 0.3173
0.8173 0.9158 0.3007
0.1993 0.5165 0.6151
0.9835 0.5986 0.1827
0.9014 0.0842 0.8849
0.1151 0.4158 0.0986
0.1827 0.0842 0.6993
0.9835 0.3849 0.3007
0.8849 0.3007 0.4835
0.5842 0.6993 0.6827
0.9158 0.0986 0.6151
0.9158 0.8173 0.8007
0.3849 0.4014 0.0842
0.5986 0.6151 0.4158
0.1151 0.6993 0.5165
0.8173 0.9014 0.0165
0.6151 0.0165 0.1993
0.0842 0.9014 0.3849
0.3173 0.8007 0.4158
0.0842 0.1827 0.1993
0.4014 0.3849 0.5842
0.6993 0.5842 0.1827
0.6827 0.1993 0.5842
0.5842 0.8849 0.4014
0.5986 0.9835 0.6827
0.0165 0.6151 0.6993
0.4835 0.6827 0.0986
0.8849 0.5842 0.9014
0.4158 0.3007 0.3173
0.8007 0.3173 0.9158
0.2500 0.6250 0.8750
0.6250 0.2500 0.3750
0.1250 0.2500 0.8750
0.8750 0.1250 0.2500
0.7500 0.3750 0.1250
0.7500 0.8750 0.6250
0.3750 0.7500 0.6250
0.6250 0.3750 0.7500
0.3750 0.6250 0.2500
0.8750 0.7500 0.1250
0.1250 0.8750 0.7500
0.2500 0.1250 0.3750

Entry 6:
PBE-GGA Ac12FePb6, relaxed; total moment = 0.00 μB per cell; E_form = -0.276 eV per atom; SG = R-3 (148); V = 774.8 Å³ per cell
1.0
-8.6915 -2.9585 -0.4393
3.2796 -8.1036 -2.8399
0.7451 -2.3927 8.8435
Ac Pb Fe
12 6 1
Direct
0.8051 0.5834 0.4474
0.9572 0.0732 0.2995
0.5834 0.4474 0.8051
0.2995 0.9572 0.0732
0.5526 0.1949 0.4166
0.4474 0.8051 0.5834
0.0428 0.9268 0.7005
0.0732 0.2995 0.9572
0.9268 0.7005 0.0428
0.4166 0.5526 0.1949
0.1949 0.4166 0.5526
0.7005 0.0428 0.9268
0.8608 0.2597 0.6357
0.6357 0.8608 0.2597
0.2597 0.6357 0.8608
0.3643 0.1392 0.7403
0.1392 0.7403 0.3643
0.7403 0.3643 0.1392
0.0000 0.0000 0.0000